{"formula": "As2Ir", "functional": "PBE-GGA", "state": "relaxed", "lattice": [[-0.915, 1.840, 2.848], [-2.265, -2.277, -1.423], [1.875, -3.760, 3.032]], "species": ["As", "As", "Ir"], "frac_coords": [[0.667, 0.333, 0.712], [0.333, 0.667, 0.288], [0.000, 0.000, 0.000]], "e_form_ev_per_atom": -0.05}

=====

{"formula": "BaCd9Au2", "functional": "PBE-GGA", "state": "relaxed", "lattice": [[3.849, 0.000, 0.000], [0.000, 9.433, 0.000], [0.000, -4.716, 8.169]], "species": ["Ba", "Cd", "Cd", "Cd", "Cd", "Cd", "Cd", "Cd", "Cd", "Cd", "Au", "Au"], "frac_coords": [[0.000, 0.000, 0.000], [0.500, 0.808, 0.192], [0.000, 0.500, 0.500], [0.500, 0.616, 0.808], [0.500, 0.192, 0.384], [0.500, 0.384, 0.192], [0.000, 0.500, 0.000], [0.500, 0.192, 0.808], [0.500, 0.808, 0.616], [0.000, 0.000, 0.500], [0.000, 0.667, 0.333], [0.000, 0.333, 0.667]], "de_polymorph_ev_per_fu": 0.85, "e_form_ev_per_atom": -0.19}

=====

{"formula": "DyPu2N3", "functional": "PBE-GGA", "state": "relaxed", "lattice": [[3.330, 0.000, -1.008], [-0.610, 4.454, -2.016], [0.005, 0.001, 6.020]], "species": ["Pu", "Pu", "N", "N", "N", "Dy"], "frac_coords": [[0.166, 0.166, 0.831], [0.834, 0.834, 0.169], [0.500, 0.000, 0.500], [0.829, 0.329, 0.157], [0.171, 0.671, 0.843], [0.500, 0.500, 0.500]], "e_form_raw_ev_per_atom": -1.40}

=====

{"formula": "PmHfSnAu", "functional": "PBE-GGA", "state": "relaxed", "lattice": [[-3.951, 0.272, 3.241], [-0.591, -3.569, 3.619], [0.799, 1.183, 4.915]], "species": ["Pm", "Hf", "Au", "Sn"], "frac_coords": [[0.000, 0.000, 0.000], [0.500, 0.500, 0.500], [0.750, 0.750, 0.750], [0.250, 0.250, 0.250]], "e_form_ev_per_atom": -0.40}

=====

{"formula": "Pr8Ga3PI4", "functional": "PBE-GGA", "state": "relaxed", "lattice": [[-0.253, 5.813, 6.531], [-5.563, -5.586, 4.757], [7.681, -3.149, -2.758]], "species": ["Pr", "Pr", "Pr", "Pr", "Pr", "Pr", "Pr", "Pr", "I", "I", "I", "I", "Ga", "Ga", "Ga", "P"], "frac_coords": [[0.232, 0.704, 0.464], [0.737, 0.710, 0.474], [0.232, 0.704, 0.972], [0.740, 0.704, 0.972], [0.260, 0.296, 0.028], [0.768, 0.296, 0.536], [0.263, 0.290, 0.526], [0.768, 0.296, 0.028], [0.000, 0.000, 0.000], [0.500, 0.000, 0.500], [0.000, 0.000, 0.500], [0.500, 0.000, 0.000], [0.500, 0.500, 0.000], [0.000, 0.500, 0.500], [0.500, 0.500, 0.500], [0.000, 0.500, 0.000]], "e_form_raw_ev_per_atom": -0.92}

=====

{"formula": "Ac5Pr2", "functional": "PBE-GGA", "state": "relaxed", "lattice": [[-2.502, -2.684, -0.803], [3.217, 0.686, -12.315], [8.946, -8.892, 1.842]], "species": ["Ac", "Ac", "Ac", "Ac", "Ac", "Ac", "Ac", "Ac", "Ac", "Ac", "Pr", "Pr", "Pr", "Pr"], "frac_coords": [[0.000, 0.702, 0.441], [0.000, 0.000, 0.500], [0.000, 0.798, 0.941], [0.000, 0.059, 0.798], [0.000, 0.441, 0.298], [0.000, 0.559, 0.702], [0.000, 0.941, 0.202], [0.000, 0.202, 0.059], [0.000, 0.298, 0.559], [0.000, 0.500, 0.000], [0.500, 0.319, 0.819], [0.500, 0.819, 0.681], [0.500, 0.681, 0.181], [0.500, 0.181, 0.319]], "de_polymorph_ev_per_fu": 0.44, "e_form_ev_per_atom": 0.19}

=====

{"formula": "RbCdI4", "functional": "PBE-GGA", "state": "relaxed", "lattice": [[0.208, 7.011, 2.144], [-6.747, -1.675, 2.339], [4.179, -3.126, 9.817]], "species": ["Rb", "Rb", "I", "I", "I", "I", "I", "I", "I", "I", "Cd", "Cd"], "frac_coords": [[0.557, 0.557, 0.250], [0.443, 0.443, 0.750], [0.233, 0.233, 0.449], [0.666, 0.072, 0.250], [0.767, 0.767, 0.949], [0.233, 0.233, 0.051], [0.334, 0.928, 0.750], [0.767, 0.767, 0.551], [0.928, 0.334, 0.750], [0.072, 0.666, 0.250], [0.046, 0.046, 0.250], [0.954, 0.954, 0.750]], "e_form_raw_ev_per_atom": -0.67}

=====

{"formula": "KBe2Cd", "functional": "PBE-GGA", "state": "relaxed", "lattice": [[6.109, 0.006, -0.016], [2.976, 5.335, 0.016], [-3.587, -4.296, 2.449]], "species": ["K", "Cd", "Be", "Be"], "frac_coords": [[0.241, 0.741, 0.500], [0.555, 0.555, 0.000], [0.774, 0.274, 0.500], [0.930, 0.930, 0.000]], "e_form_ev_per_atom": 0.68}

=====

{"formula": "Y2ZrAg2", "functional": "PBE-GGA", "state": "relaxed", "lattice": [[8.405, 0.000, 0.000], [0.000, 8.405, 0.000], [0.000, 0.000, 3.465]], "species": ["Ag", "Ag", "Ag", "Ag", "Y", "Y", "Y", "Y", "Zr", "Zr"], "frac_coords": [[0.644, 0.856, 0.500], [0.144, 0.644, 0.500], [0.356, 0.144, 0.500], [0.856, 0.356, 0.500], [0.653, 0.153, 0.000], [0.153, 0.347, 0.000], [0.847, 0.653, 0.000], [0.347, 0.847, 0.000], [0.000, 0.000, 0.000], [0.500, 0.500, 0.000]], "de_polymorph_ev_per_fu": 0.66, "e_form_ev_per_atom": 0.04}

=====

{"formula": "ReIr2Cl", "functional": "PBE-GGA", "state": "relaxed", "lattice": [[-4.027, 2.353, -0.100], [-1.901, -0.902, 4.164], [4.288, 1.587, -0.926]], "species": ["Re", "Ir", "Ir", "Cl"], "frac_coords": [[0.250, 0.750, 0.500], [0.500, 0.500, 0.000], [0.000, 0.000, 0.000], [0.750, 0.250, 0.500]], "de_polymorph_ev_per_fu": 2.86, "e_form_raw_ev_per_atom": 1.01}

=====

{"formula": "Cs2ZrNbO6", "functional": "PBE-GGA", "state": "relaxed", "lattice": [[6.282, 0.000, 0.000], [3.141, 5.440, 0.000], [3.141, 1.813, 10.030]], "species": ["Cs", "Cs", "Cs", "Cs", "O", "O", "O", "O", "O", "O", "O", "O", "O", "O", "O", "O", "Nb", "Nb", "Zr", "Zr"], "frac_coords": [[0.869, 0.869, 0.392], [0.720, 0.720, 0.841], [0.131, 0.131, 0.608], [0.280, 0.280, 0.159], [0.804, 0.804, 0.112], [0.406, 0.820, 0.367], [0.594, 0.180, 0.633], [0.804, 0.280, 0.112], [0.196, 0.720, 0.888], [0.594, 0.594, 0.633], [0.720, 0.196, 0.888], [0.196, 0.196, 0.888], [0.820, 0.406, 0.367], [0.406, 0.406, 0.367], [0.180, 0.594, 0.633], [0.280, 0.804, 0.112], [0.000, 0.000, 0.000], [0.500, 0.500, 0.500], [0.600, 0.600, 0.201], [0.400, 0.400, 0.799]], "e_form_raw_ev_per_atom": -2.28}

=====

{"formula": "BaAl2Rh", "functional": "PBE-GGA", "state": "relaxed", "lattice": [[5.620, 0.022, 0.000], [-2.622, 4.971, 0.000], [0.000, 0.000, 3.187]], "species": ["Rh", "Al", "Al", "Ba"], "frac_coords": [[0.000, 0.500, 0.500], [0.000, 0.000, 0.000], [0.500, 0.500, 0.000], [0.500, 0.000, 0.500]], "e_form_ev_per_atom": 0.35}

=====

{"formula": "Sm2ScAlO6", "functional": "PBE-GGA", "state": "relaxed", "lattice": [[5.433, 0.000, -0.002], [0.000, 5.615, 0.000], [0.045, 0.000, 7.787]], "species": ["O", "O", "O", "O", "O", "O", "O", "O", "O", "O", "O", "O", "Al", "Al", "Sm", "Sm", "Sm", "Sm", "Sc", "Sc"], "frac_coords": [[0.596, 0.030, 0.239], [0.785, 0.806, 0.951], [0.096, 0.470, 0.739], [0.904, 0.530, 0.261], [0.193, 0.214, 0.448], [0.715, 0.306, 0.549], [0.404, 0.970, 0.761], [0.285, 0.694, 0.451], [0.693, 0.286, 0.948], [0.807, 0.786, 0.552], [0.215, 0.194, 0.049], [0.307, 0.714, 0.052], [0.500, 0.000, 0.000], [0.000, 0.500, 0.500], [0.986, 0.054, 0.750], [0.014, 0.946, 0.250], [0.514, 0.554, 0.750], [0.486, 0.446, 0.250], [0.000, 0.500, 0.000], [0.500, 0.000, 0.500]], "e_form_raw_ev_per_atom": -3.38}

=====

{"formula": "CaMoPd", "functional": "PBE-GGA", "state": "relaxed", "lattice": [[-7.823, 0.904, 2.234], [-0.076, -3.253, 1.048], [2.601, 2.542, 8.078]], "species": ["Ca", "Ca", "Ca", "Ca", "Mo", "Mo", "Mo", "Mo", "Pd", "Pd", "Pd", "Pd"], "frac_coords": [[0.571, 0.750, 0.331], [0.429, 0.250, 0.669], [0.929, 0.250, 0.831], [0.071, 0.750, 0.169], [0.592, 0.750, 0.955], [0.408, 0.250, 0.045], [0.092, 0.750, 0.545], [0.908, 0.250, 0.455], [0.772, 0.250, 0.143], [0.228, 0.750, 0.857], [0.728, 0.750, 0.643], [0.272, 0.250, 0.357]], "de_polymorph_ev_per_fu": 0.13, "e_form_ev_per_atom": -0.06}

=====

{"formula": "K2PmCl4", "functional": "PBE-GGA", "state": "relaxed", "lattice": [[5.479, 0.000, 0.000], [0.000, 5.479, 0.000], [-2.739, -2.739, 8.113]], "species": ["Pm", "K", "K", "Cl", "Cl", "Cl", "Cl"], "frac_coords": [[0.000, 0.000, 0.000], [0.640, 0.640, 0.281], [0.360, 0.360, 0.719], [0.000, 0.500, 0.000], [0.500, 0.000, 0.000], [0.829, 0.829, 0.658], [0.171, 0.171, 0.342]], "e_form_raw_ev_per_atom": -1.86}

=====

{"formula": "NdZn5Ni2Ir", "functional": "PBE-GGA", "state": "relaxed", "lattice": [[-2.522, -1.944, -3.378], [-0.323, -3.905, 2.489], [-5.810, 2.375, 2.971]], "species": ["Zn", "Zn", "Zn", "Zn", "Zn", "Ni", "Ni", "Ir", "Nd"], "frac_coords": [[0.500, 0.000, 0.808], [0.500, 0.000, 0.192], [0.000, 0.500, 0.192], [0.000, 0.500, 0.808], [0.500, 0.500, 0.500], [0.500, 0.500, 0.167], [0.500, 0.500, 0.833], [0.000, 0.000, 0.000], [0.000, 0.000, 0.500]], "e_form_ev_per_atom": -0.08}

=====

{"formula": "YCuTeI2", "functional": "PBE-GGA", "state": "relaxed", "lattice": [[5.254, 0.000, 0.000], [0.000, 5.254, 0.000], [0.000, 0.000, 5.449]], "species": ["I", "I", "Y", "Te", "Cu"], "frac_coords": [[0.500, 0.000, 0.000], [0.000, 0.500, 0.000], [0.500, 0.500, 0.500], [0.000, 0.000, 0.500], [0.000, 0.000, 0.000]], "de_polymorph_ev_per_fu": 0.03, "e_form_raw_ev_per_atom": -0.19}

=====

{"formula": "Zn2CdP2", "functional": "PBE-GGA", "state": "relaxed", "lattice": [[-1.154, 5.920, -4.473], [-7.338, -0.237, 1.579], [0.458, 1.915, 2.417]], "species": ["Zn", "Zn", "Zn", "Zn", "P", "P", "P", "P", "Cd", "Cd"], "frac_coords": [[0.372, 0.128, 0.500], [0.872, 0.372, 0.500], [0.628, 0.872, 0.500], [0.128, 0.628, 0.500], [0.324, 0.824, 0.000], [0.824, 0.676, 0.000], [0.176, 0.324, 0.000], [0.676, 0.176, 0.000], [0.500, 0.500, 0.000], [0.000, 0.000, 0.000]], "de_polymorph_ev_per_fu": 0.89, "e_form_ev_per_atom": 0.25}

=====

{"formula": "Zn2InAu", "functional": "PBE-GGA", "state": "relaxed", "lattice": [[4.785, 0.019, -0.015], [3.403, 3.363, -0.015], [0.832, 0.344, 4.712]], "species": ["Au", "In", "Zn", "Zn"], "frac_coords": [[0.504, 0.504, 0.466], [0.755, 0.755, 0.749], [0.246, 0.246, 0.250], [0.995, 0.995, 0.034]], "e_form_ev_per_atom": -0.07}

=====

{"formula": "InW5", "functional": "PBE-GGA", "state": "relaxed", "lattice": [[2.418, 3.607, -3.097], [-4.247, -2.663, -1.824], [-2.750, 3.257, 1.646]], "species": ["W", "W", "W", "W", "W", "In"], "frac_coords": [[0.500, 0.000, 0.500], [0.500, 0.500, 0.500], [0.000, 0.500, 0.500], [0.333, 0.667, 0.000], [0.667, 0.333, 0.000], [0.000, 0.000, 0.000]], "de_polymorph_ev_per_fu": 1.92, "e_form_ev_per_atom": 0.67}

=====

| no. | N(E_F) (states/eV/cell) |
| --- | --- |
| 1 | 1.0 |
| 2 | 4.6 |
| 3 | 10.7 |
| 4 | 4.4 |
| 5 | 8.5 |
| 6 | 27.8 |
| 7 | 17.8 |
| 8 | 1.2 |
| 9 | 6.7 |
| 10 | 2.3 |
| 11 | 13.3 |
| 12 | 3.3 |
| 13 | 0.0 |
| 14 | 8.2 |
| 15 | 3.0 |
| 16 | 7.5 |
| 17 | 2.8 |
| 18 | 3.6 |
| 19 | 0.8 |
| 20 | 4.9 |